Entry 1:
# Al2Tc GGA-PBE relaxed
# calculated density = 4.85 g/cm³
# energy above the lowest structure with this stoichiometry = 518.0 meV/atom
# total moment = 0.0 μB/cell
# formation energy from the elements = 45 meV per atom
# total DFT energy (no corrections) = -5.9050 eV per atom
# crystal system = cubic
data_Al2Tc
_chemical_formula_sum 'Al8 Tc4'
_symmetry_space_group_name_H-M 'P 1'
_symmetry_Int_Tables_number 1
_cell_length_a 5.927
_cell_length_b 5.927
_cell_length_c 5.927
_cell_angle_alpha 90.00
_cell_angle_beta 90.00
_cell_angle_gamma 90.00
loop_
_symmetry_equiv_pos_as_xyz
'x,y,z'
loop_
_atom_site_label
_atom_site_fract_x
_atom_site_fract_y
_atom_site_fract_z
Tc1 0.000 0.500 0.500
Tc2 0.000 0.000 0.000
Tc3 0.500 0.500 0.000
Tc4 0.500 0.000 0.500
Al1 0.250 0.250 0.750
Al2 0.750 0.250 0.250
Al3 0.750 0.750 0.250
Al4 0.750 0.750 0.750
Al5 0.750 0.250 0.750
Al6 0.250 0.750 0.250
Al7 0.250 0.750 0.750
Al8 0.250 0.250 0.250



Entry 2:
# Al5Tc GGA-PBE relaxed
# calculated density = 4.28 g/cm³
# energy above the lowest structure with this stoichiometry = 0.0 meV/atom
# total moment = 0.0 μB/cell
# formation energy from the elements = -291 meV per atom
# total DFT energy (no corrections) = -5.1371 eV per atom
# crystal system = hexagonal
data_Al5Tc
_chemical_formula_sum 'Al5 Tc1'
_symmetry_space_group_name_H-M 'P 1'
_symmetry_Int_Tables_number 1
_cell_length_a 4.740
_cell_length_b 4.740
_cell_length_c 4.646
_cell_angle_alpha 90.00
_cell_angle_beta 90.00
_cell_angle_gamma 120.00
loop_
_symmetry_equiv_pos_as_xyz
'x,y,z'
loop_
_atom_site_label
_atom_site_fract_x
_atom_site_fract_y
_atom_site_fract_z
Al1 0.015 0.000 0.000
Al2 0.667 0.667 0.500
Al3 0.651 0.318 0.000
Al4 0.000 0.333 0.500
Al5 0.333 0.682 0.000
Tc1 0.333 0.000 0.500